The following is a DFT calculation (GGA-PBE) of a relaxed structure of Pm2YEr4.

Values from the calculation:
- D(E_F) (states/eV per cell) = 11.663
- space group = C2/m, No. 12
- VASP energy (eV/atom) = -4.838
- energy of formation (eV/atom) = 0.050
- excess energy over the best structure of this formula in the dataset (eV/atom) = 0.000

a b c (Å): 8.594 8.594 8.725
angles (deg): 119.40 119.40 23.77
Element x y z (fractional)
Pm 0.070 0.070 0.432
Pm 0.930 0.930 0.568
Y 0.000 0.000 0.000
Er 0.295 0.295 0.707
Er 0.354 0.354 0.156
Er 0.646 0.646 0.844
Er 0.705 0.705 0.293